(1)
RbCdReAg2 | PBE | optimized geometry

Values from the calculation:
Crystal system: tetragonal
Total DFT energy (no corrections) (eV/atom): -1.81
DOS(E_F) (states/eV/cell): 3.37
ρ (Mg/m³): 4.36
Calculated formation energy (meV per atom): 2202

Unit cell a=5.9975 b=6.3544 c=5.9975 alpha=90.00 beta=90.00 gamma=90.00
Closest atoms and distances in Å follow each position.
Fractional positions:
Ag 0.5000 0.0000 0.0000  2 Rb 3.00
Ag 0.0000 0.0000 0.5000  2 Rb 3.00
Cd 0.0000 0.5000 0.0000  2 Rb 3.18
Rb 0.0000 0.0000 0.0000  4 Ag 3.00, 2 Cd 3.18
Re 0.5000 0.5000 0.5000  4 Cd 4.24, 8 Ag 4.37

---

(2)
RbCdAg2Ru | PBE | optimized geometry

Values from the calculation:
Crystal system: tetragonal
Total DFT energy (no corrections) (eV/atom): -2.47
DOS(E_F) (states/eV/cell): 4.74
ρ (Mg/m³): 5.71
Calculated formation energy (meV per atom): 905

Unit cell a=5.3476 b=5.2385 c=5.3476 alpha=90.00 beta=90.00 gamma=90.00
Closest atoms and distances in Å follow each position.
Fractional positions:
Rb 0.5000 0.5000 0.5000  8 Ag 3.74, 4 Ru 3.78
Cd 0.0000 0.0000 0.0000  2 Ru 2.62, 4 Ag 2.67
Ag 0.0000 0.0000 0.5000  2 Cd 2.67
Ru 0.0000 0.5000 0.0000  2 Cd 2.62
Ag 0.5000 0.0000 0.0000  2 Cd 2.67

---

(3)
RbCdAgSb2 | PBE | optimized geometry

Values from the calculation:
Crystal system: tetragonal
Total DFT energy (no corrections) (eV/atom): -2.80
DOS(E_F) (states/eV/cell): 1.32
ρ (Mg/m³): 5.98

Unit cell a=5.0806 b=5.0806 c=6.9177 alpha=111.54 beta=111.54 gamma=90.00
Closest atoms and distances in Å follow each position.
Fractional positions:
Cd 0.2500 0.7500 0.5000  4 Sb 2.94
Sb 0.6245 0.6245 0.2490  2 Ag 2.94, 2 Cd 2.94, 1 Sb 2.94
Rb 0.0000 0.0000 0.0000  8 Sb 3.88, 4 Cd 3.90, 4 Ag 3.90
Sb 0.3755 0.3755 0.7510  2 Ag 2.94, 2 Cd 2.94, 1 Sb 2.94
Ag 0.7500 0.2500 0.5000  4 Sb 2.94

---

(4)
Rb2Cd3AgSb4 | PBE | optimized geometry

Values from the calculation:
Crystal system: tetragonal
Total DFT energy (no corrections) (eV/atom): -2.64
DOS(E_F) (states/eV/cell): 2.02
ρ (Mg/m³): 5.96

Unit cell a=5.0304 b=5.0304 c=12.1524 alpha=90.00 beta=90.00 gamma=90.00
Closest atoms and distances in Å follow each position.
Fractional positions:
Rb 0.5000 0.0000 0.2580  8 Sb 3.82-4.02, 6 Cd 3.84-3.87, 2 Ag 3.87
Cd 0.0000 0.0000 0.5000  4 Sb 2.95
Ag 0.5000 0.5000 0.5000  4 Sb 2.95
Sb 0.0000 0.5000 0.3733  3 Cd 2.85-2.95, 2 Ag 2.95
Sb 0.5000 0.5000 0.0000  4 Cd 3.03
Cd 0.5000 0.0000 0.8611  5 Sb 2.85-3.03
Cd 0.0000 0.5000 0.1389  5 Sb 2.85-3.03
Rb 0.0000 0.5000 0.7420  8 Sb 3.82-4.02, 6 Cd 3.84-3.87, 2 Ag 3.87
Sb 0.5000 0.0000 0.6267  3 Cd 2.85-2.95, 2 Ag 2.95
Sb 0.0000 0.0000 0.0000  4 Cd 3.03

---

(5)
RbScCd2Ag | PBE | optimized geometry

Values from the calculation:
Crystal system: tetragonal
Total DFT energy (no corrections) (eV/atom): -2.14
DOS(E_F) (states/eV/cell): 5.18
ρ (Mg/m³): 4.86
Calculated formation energy (meV per atom): 261

Unit cell a=5.4600 b=5.3097 c=5.4600 alpha=90.00 beta=90.00 gamma=90.00
Closest atoms and distances in Å follow each position.
Fractional positions:
Rb 0.5000 0.5000 0.5000  8 Cd 3.81, 4 Sc 3.86
Cd 0.0000 0.0000 0.5000  2 Ag 2.73
Ag 0.0000 0.0000 0.0000  2 Sc 2.65, 4 Cd 2.73
Cd 0.5000 0.0000 0.0000  2 Ag 2.73
Sc 0.0000 0.5000 0.0000  2 Ag 2.65

---

(6)
RbCdSi2Ag | PBE | optimized geometry

Values from the calculation:
Crystal system: tetragonal
Total DFT energy (no corrections) (eV/atom): -1.27
DOS(E_F) (states/eV/cell): 4.83
ρ (Mg/m³): 3.33

Unit cell a=5.6846 b=5.5827 c=5.6846 alpha=90.00 beta=90.00 gamma=90.00
Closest atoms and distances in Å follow each position.
Fractional positions:
Si 0.0000 0.0000 0.5000  2 Rb 2.84
Ag 0.0000 0.5000 0.0000  2 Rb 2.79
Rb 0.0000 0.0000 0.0000  2 Ag 2.79, 4 Si 2.84
Si 0.5000 0.0000 0.0000  2 Rb 2.84
Cd 0.5000 0.5000 0.5000  8 Si 3.98, 4 Ag 4.02